[1]
DFT (PBE) results for a geometry-optimized K2TmGaSe4 structure.

Computed properties:
E_form (uncorrected) = -9.231 eV/f.u.
M_tot = 0.000 μB/atom

Structure (CIF):
```
data_K2TmGaSe4
_cell_length_a 11.946
_cell_length_b 12.155
_cell_length_c 8.318
_cell_angle_alpha 90.00
_cell_angle_beta 134.07
_cell_angle_gamma 90.00
_space_group_name_H-M_alt 'C 1 2/c 1'
_space_group_IT_number 15
loop_
_space_group_symop_operation_xyz
'x,y,z'
'-x,-y,-z'
'-x,y,-z+1/2'
'x,-y,z+1/2'
'x+1/2,y+1/2,z'
'-x+1/2,-y+1/2,-z'
'-x+1/2,y+1/2,-z+1/2'
'x+1/2,-y+1/2,z+1/2'
loop_
_atom_site_label
_atom_site_fract_x
_atom_site_fract_y
_atom_site_fract_z
_atom_site_occupancy
K1 0.000 0.000 0.000 1
K2 0.250 0.250 0.000 1
Tm1 0.250 0.250 0.500 1
Ga1 0.000 0.500 0.000 1
Se1 0.000 0.267 0.025 1
Se2 0.205 0.488 0.456 1
```


[2]
DFT (PBE) results for a geometry-optimized K3U3GaSe8 structure.

Computed properties:
E_form (uncorrected) = -16.985 eV/f.u.
M_tot = 0.398 μB/atom

Structure (CIF):
```
data_K3U3GaSe8
_cell_length_a 8.5034
_cell_length_b 8.5034
_cell_length_c 22.8397
_cell_angle_alpha 90.00
_cell_angle_beta 90.00
_cell_angle_gamma 120.00
_space_group_name_H-M_alt 'R -3 m'
_space_group_IT_number 166
_space_group_name_Hall '-R 3 2"'
loop_
_atom_site_label
_atom_site_fract_x
_atom_site_fract_y
_atom_site_fract_z
_atom_site_occupancy
K1 0.0000 0.5000 0.0000 1
U1 0.0000 0.5000 0.5000 1
Ga1 0.0000 0.0000 0.5000 1
Se1 0.0000 0.0000 0.2359 1
Se2 0.0162 0.5081 0.7681 1
```


[3]
DFT (PBE) results for a geometry-optimized K2VGaSe4 structure.

Computed properties:
E_form (uncorrected) = -6.751 eV/f.u.
M_tot = 0.000 μB/atom

Structure (CIF):
```
data_K2VGaSe4
_cell_length_a 6.727
_cell_length_b 13.103
_cell_length_c 23.387
_cell_angle_alpha 90.00
_cell_angle_beta 90.00
_cell_angle_gamma 90.00
_space_group_name_H-M_alt 'F d d d'
_space_group_IT_number 70
loop_
_space_group_symop_operation_xyz
'x,y,z'
'-x,-y,-z'
'-x+1/4,-y+1/4,z'
'x+1/4,y+1/4,-z'
'x,-y+1/4,-z+1/4'
'-x,y+1/4,z+1/4'
'-x+1/4,y,-z+1/4'
'x+1/4,-y,z+1/4'
'x,y+1/2,z+1/2'
'-x,-y+1/2,-z+1/2'
'-x+1/4,-y+3/4,z+1/2'
'x+1/4,y+3/4,-z+1/2'
'x,-y+3/4,-z+3/4'
'-x,y+3/4,z+3/4'
'-x+1/4,y+1/2,-z+3/4'
'x+1/4,-y+1/2,z+3/4'
'x+1/2,y,z+1/2'
'-x+1/2,-y,-z+1/2'
'-x+3/4,-y+1/4,z+1/2'
'x+3/4,y+1/4,-z+1/2'
'x+1/2,-y+1/4,-z+3/4'
'-x+1/2,y+1/4,z+3/4'
'-x+3/4,y,-z+3/4'
'x+3/4,-y,z+3/4'
'x+1/2,y+1/2,z'
'-x+1/2,-y+1/2,-z'
'-x+3/4,-y+3/4,z'
'x+3/4,y+3/4,-z'
'x+1/2,-y+3/4,-z+1/4'
'-x+1/2,y+3/4,z+1/4'
'-x+3/4,y+1/2,-z+1/4'
'x+3/4,-y+1/2,z+1/4'
loop_
_atom_site_label
_atom_site_fract_x
_atom_site_fract_y
_atom_site_fract_z
_atom_site_occupancy
K1 0.125 0.125 0.306 1
V1 0.125 0.125 0.625 1
Ga1 0.125 0.125 0.125 1
Se1 0.103 0.280 0.821 1
```


[4]
DFT (PBE) results for a geometry-optimized K3Y3GaSe8 structure.

Computed properties:
E_form (uncorrected) = -21.014 eV/f.u.
M_tot = 0.000 μB/atom

Structure (CIF):
```
data_K3Y3GaSe8
_cell_length_a 14.174
_cell_length_b 8.175
_cell_length_c 9.230
_cell_angle_alpha 90.00
_cell_angle_beta 120.81
_cell_angle_gamma 90.00
_space_group_name_H-M_alt 'C 1 2/m 1'
_space_group_IT_number 12
loop_
_space_group_symop_operation_xyz
'x,y,z'
'-x,-y,-z'
'-x,y,-z'
'x,-y,z'
'x+1/2,y+1/2,z'
'-x+1/2,-y+1/2,-z'
'-x+1/2,y+1/2,-z'
'x+1/2,-y+1/2,z'
loop_
_atom_site_label
_atom_site_fract_x
_atom_site_fract_y
_atom_site_fract_z
_atom_site_occupancy
K1 0.000 0.000 0.000 1
K2 0.250 0.250 0.000 1
Y1 0.000 0.500 0.500 1
Y2 0.250 0.250 0.500 1
Ga1 0.000 0.000 0.500 1
Se1 0.014 0.236 0.305 1
Se2 0.222 0.000 0.694 1
Se3 0.236 0.500 0.707 1
```


[5]
DFT (PBE) results for a geometry-optimized KZn2GaSe4 structure.

Computed properties:
E_form (uncorrected) = -5.513 eV/f.u.
M_tot = 0.000 μB/atom

Structure (CIF):
```
data_KZn2GaSe4
_cell_length_a 6.518
_cell_length_b 7.619
_cell_length_c 8.897
_cell_angle_alpha 90.00
_cell_angle_beta 90.00
_cell_angle_gamma 90.00
_space_group_name_H-M_alt 'I 2 2 2'
_space_group_IT_number 23
loop_
_space_group_symop_operation_xyz
'x,y,z'
'-x,-y,z'
'x,-y,-z'
'-x,y,-z'
'x+1/2,y+1/2,z+1/2'
'-x+1/2,-y+1/2,z+1/2'
'x+1/2,-y+1/2,-z+1/2'
'-x+1/2,y+1/2,-z+1/2'
loop_
_atom_site_label
_atom_site_fract_x
_atom_site_fract_y
_atom_site_fract_z
_atom_site_occupancy
K1 0.000 0.000 0.000 1
Zn1 0.000 0.500 0.183 1
Ga1 0.000 0.000 0.500 1
Se1 0.217 0.187 0.343 1
```


[6]
DFT (PBE) results for a geometry-optimized K2ZrGaSe5 structure.

Computed properties:
E_form (uncorrected) = -9.220 eV/f.u.
M_tot = 0.020 μB/atom

Structure (CIF):
```
data_K2ZrGaSe5
_cell_length_a 3.801
_cell_length_b 20.079
_cell_length_c 14.427
_cell_angle_alpha 90.00
_cell_angle_beta 90.00
_cell_angle_gamma 90.00
_space_group_name_H-M_alt 'C m c 21'
_space_group_IT_number 36
loop_
_space_group_symop_operation_xyz
'x,y,z'
'-x,-y,z+1/2'
'-x,y,z'
'x,-y,z+1/2'
'x+1/2,y+1/2,z'
'-x+1/2,-y+1/2,z+1/2'
'-x+1/2,y+1/2,z'
'x+1/2,-y+1/2,z+1/2'
loop_
_atom_site_label
_atom_site_fract_x
_atom_site_fract_y
_atom_site_fract_z
_atom_site_occupancy
K1 0.000 0.129 0.000 1
K2 0.000 0.130 0.370 1
Zr1 0.000 0.210 0.707 1
Ga1 0.000 0.430 0.107 1
Se1 0.000 0.062 0.714 1
Se2 0.000 0.299 0.334 1
Se3 0.000 0.309 0.068 1
Se4 0.000 0.338 0.685 1
Se5 0.000 0.492 0.967 1
```